Record 1
# Ba2Tl2W, optimized geometry, DFT PBE-GGA
data_Ba2Tl2W
_cell_length_a 4.260
_cell_length_b 4.260
_cell_length_c 20.901
_cell_angle_alpha 90.00
_cell_angle_beta 90.00
_cell_angle_gamma 90.00
_space_group_name_H-M_alt 'I 4/m m m'
_space_group_IT_number 139
_space_group_name_Hall '-I 4 2'
loop_
_atom_site_label
_atom_site_fract_x
_atom_site_fract_y
_atom_site_fract_z
Ba1 0.000 0.000 0.092
Tl1 0.000 0.500 0.250
W1 0.000 0.000 0.500
# - Raw total energy: -34.55 eV per cell
# - Formation energy from the elements: 0.851 eV/atom
# - D(E_F): 9.7 states/eV/cell
# - Excess energy over the best structure of this formula in the dataset: 262.1 meV/atom

---

Record 2
# Hf2Rh2Pb, optimized geometry, DFT PBE-GGA
data_Hf2Rh2Pb
_cell_length_a 4.497
_cell_length_b 4.497
_cell_length_c 10.636
_cell_angle_alpha 90.00
_cell_angle_beta 90.00
_cell_angle_gamma 90.00
_space_group_name_H-M_alt 'I 4/m m m'
_space_group_IT_number 139
_space_group_name_Hall '-I 4 2'
loop_
_atom_site_label
_atom_site_fract_x
_atom_site_fract_y
_atom_site_fract_z
Hf1 0.000 0.500 0.250
Rh1 0.000 0.000 0.120
Pb1 0.000 0.000 0.500
# - Raw total energy: -81.19 eV per cell
# - Formation energy from the elements: -0.455 eV/atom
# - D(E_F): 4.5 states/eV/cell

---

Record 3
# InTcAs2Se, optimized geometry, DFT PBE-GGA
data_InTcAs2Se
_cell_length_a 4.730
_cell_length_b 4.730
_cell_length_c 5.650
_cell_angle_alpha 90.00
_cell_angle_beta 90.00
_cell_angle_gamma 90.00
_space_group_name_H-M_alt 'P 4/m m m'
_space_group_IT_number 123
_space_group_name_Hall '-P 4 2'
loop_
_atom_site_label
_atom_site_fract_x
_atom_site_fract_y
_atom_site_fract_z
In1 0.000 0.000 0.000
Tc1 0.500 0.500 0.500
As1 0.000 0.500 0.500
Se1 0.500 0.500 0.000
# - Raw total energy: -24.57 eV per cell
# - D(E_F): 3.8 states/eV/cell
# - Excess energy over the best structure of this formula in the dataset: 0.0 meV/atom
# - Formation energy without anion corrections: 0.263 eV per atom

---

Record 4
# Ac2PrI8, optimized geometry, DFT PBE-GGA
data_Ac2PrI8
_cell_length_a 16.285
_cell_length_b 12.028
_cell_length_c 6.776
_cell_angle_alpha 90.00
_cell_angle_beta 90.54
_cell_angle_gamma 90.00
_space_group_name_H-M_alt 'C 1 2/m 1'
_space_group_IT_number 12
loop_
_space_group_symop_operation_xyz
'x,y,z'
'-x,-y,-z'
'-x,y,-z'
'x,-y,z'
'x+1/2,y+1/2,z'
'-x+1/2,-y+1/2,-z'
'-x+1/2,y+1/2,-z'
'x+1/2,-y+1/2,z'
loop_
_atom_site_label
_atom_site_fract_x
_atom_site_fract_y
_atom_site_fract_z
Ac1 0.208 0.000 0.211
Pr1 0.000 0.000 0.500
I1 0.079 0.199 0.248
I2 0.104 0.500 0.751
I3 0.182 0.000 0.717
# - Raw total energy: -79.28 eV per cell
# - Formation energy without anion corrections: -1.295 eV per atom

---

Record 5
# PuTl2PtO6, optimized geometry, DFT PBE-GGA
data_PuTl2PtO6
_cell_length_a 6.0947
_cell_length_b 6.0947
_cell_length_c 29.7842
_cell_angle_alpha 90.00
_cell_angle_beta 90.00
_cell_angle_gamma 120.00
_space_group_name_H-M_alt 'R -3 m'
_space_group_IT_number 166
_space_group_name_Hall '-R 3 2"'
loop_
_atom_site_label
_atom_site_fract_x
_atom_site_fract_y
_atom_site_fract_z
Pu1 0.0000 0.0000 0.0968
Tl1 0.0000 0.0000 0.2226
Tl2 0.0000 0.0000 0.3641
Pt1 0.0000 0.0000 0.0000
Pt2 0.0000 0.0000 0.5000
O1 0.0143 0.5071 0.2051
O2 0.0435 0.5217 0.6213
# - Raw total energy: -407.13 eV per cell
# - D(E_F): 35.7 states/eV/cell
# - Formation energy without anion corrections: -1.300 eV per atom

---

Record 6
# CaRu3, optimized geometry, DFT PBE-GGA
data_CaRu3
_cell_length_a 4.027
_cell_length_b 4.027
_cell_length_c 4.027
_cell_angle_alpha 90.00
_cell_angle_beta 90.00
_cell_angle_gamma 90.00
_space_group_name_H-M_alt 'P m -3 m'
_space_group_IT_number 221
_space_group_name_Hall '-P 4 2 3'
loop_
_atom_site_label
_atom_site_fract_x
_atom_site_fract_y
_atom_site_fract_z
Ca1 0.000 0.000 0.000
Ru1 0.000 0.500 0.500
# - Raw total energy: -27.27 eV per cell
# - Formation energy from the elements: 0.640 eV/atom
# - D(E_F): 7.1 states/eV/cell